## P
## Tb5Pr2Ho4 (PBE)

Data for crystalline Tb5Pr2Ho4 at its relaxed geometry.

Cell: 6.6760 8.9299 10.2061 Å, 40.31 70.91 68.05°
Element x y z (fractional)
Tb (0.8245, 0.7300, 0.0938)
Tb (0.6482, 0.2700, 0.9062)
Tb (0.0000, 0.5000, 0.5000)
Tb (0.3518, 0.7300, 0.0938)
Tb (0.1755, 0.2700, 0.9062)
Ho (0.5877, 0.2316, 0.5930)
Ho (0.7564, 0.6806, 0.8067)
Ho (0.4123, 0.7684, 0.4070)
Ho (0.2436, 0.3194, 0.1933)
Pr (0.2002, 0.8982, 0.7014)
Pr (0.7998, 0.1018, 0.2986)

Magnetic moment: 0.0 μB/f.u.



## Q
## Tb5Pr2Ho4 (PBE)

Data for crystalline Tb5Pr2Ho4 at its relaxed geometry.

Cell: 3.4643 8.7597 12.0766 Å, 96.66 98.23 90.01°
Element x y z (fractional)
Tb (0.7660, 0.1754, 0.5320)
Tb (0.1407, 0.1238, 0.2814)
Tb (0.5000, 0.0000, 0.0000)
Tb (0.8593, 0.8762, 0.7186)
Tb (0.2340, 0.8246, 0.4680)
Ho (0.6775, 0.4727, 0.3551)
Ho (0.0456, 0.3617, 0.0912)
Ho (0.3225, 0.5273, 0.6449)
Ho (0.9544, 0.6383, 0.9088)
Pr (0.0929, 0.7420, 0.1858)
Pr (0.9071, 0.2580, 0.8142)

Magnetic moment: 0.0 μB/f.u.



Each structure's energy above the most stable one, in meV/atom: P 7; Q 0.



## P
## TbPr3Ho (PBE)

Data for crystalline TbPr3Ho at its relaxed geometry.

Cell: 6.2280 8.8967 12.6625 Å, 90.00 90.00 90.00°
Element x y z (fractional)
Tb (0.2500, 0.5000, 0.7983)
Tb (0.7500, 0.0000, 0.2983)
Tb (0.2500, 0.0000, 0.7017)
Tb (0.7500, 0.5000, 0.2017)
Ho (0.2500, 0.5000, 0.0587)
Ho (0.7500, 0.0000, 0.5587)
Ho (0.7500, 0.5000, 0.9413)
Ho (0.2500, 0.0000, 0.4413)
Pr (0.9156, 0.6720, 0.4383)
Pr (0.4156, 0.6720, 0.5617)
Pr (0.0844, 0.3280, 0.5617)
Pr (0.1624, 0.2500, 0.2500)
Pr (0.8376, 0.7500, 0.7500)
Pr (0.9156, 0.8280, 0.0617)
Pr (0.3376, 0.7500, 0.2500)
Pr (0.5844, 0.3280, 0.4383)
Pr (0.4156, 0.8280, 0.9383)
Pr (0.0844, 0.1720, 0.9383)
Pr (0.5844, 0.1720, 0.0617)
Pr (0.6624, 0.2500, 0.7500)

Magnetic moment: 0.0 μB/f.u.



## Q
## TbPr3Ho (PBE)

Data for crystalline TbPr3Ho at its relaxed geometry.

Cell: 3.3961 6.8335 15.0406 Å, 90.00 90.00 90.00°
Element x y z (fractional)
Tb (0.5000, 0.2500, 0.1960)
Tb (0.5000, 0.7500, 0.8040)
Pr (0.5000, 0.5073, 0.3866)
Pr (0.5000, 0.4927, 0.6134)
Pr (0.5000, 0.9927, 0.3866)
Pr (0.5000, 0.0000, 0.0000)
Pr (0.5000, 0.0073, 0.6134)
Pr (0.5000, 0.5000, 0.0000)
Ho (0.0000, 0.2500, 0.8045)
Ho (0.0000, 0.7500, 0.1955)

Magnetic moment: 0.0 μB/f.u.



Each structure's energy above the most stable one, in meV/atom: P 0; Q 91.



## P
## Tb2PrHo8 (PBE)

Data for crystalline Tb2PrHo8 at its relaxed geometry.

Cell: 5.4788 8.1006 9.3612 Å, 115.64 106.99 90.00°
Element x y z (fractional)
Ho (0.3599, 0.5665, 0.7198)
Ho (0.0000, 0.2953, 0.0000)
Ho (0.0000, 0.7047, 0.0000)
Ho (0.3599, 0.1532, 0.7197)
Ho (0.6401, 0.4335, 0.2802)
Ho (0.8373, 0.8372, 0.6745)
Ho (0.1627, 0.1628, 0.3255)
Ho (0.6401, 0.8468, 0.2803)
Tb (0.1995, 0.6995, 0.3992)
Tb (0.8005, 0.3005, 0.6008)
Pr (0.5000, 0.0000, 0.0000)

Magnetic moment: 0.0 μB/f.u.



## Q
## Tb2PrHo8 (PBE)

Data for crystalline Tb2PrHo8 at its relaxed geometry.

Cell: 5.5116 10.1518 10.1518 Å, 39.96 92.68 92.68°
Element x y z (fractional)
Ho (0.7662, 0.8118, 0.8118)
Ho (0.2382, 0.5470, 0.5470)
Ho (0.2678, 0.1335, 0.6000)
Ho (0.7322, 0.4000, 0.8665)
Ho (0.2678, 0.6000, 0.1335)
Ho (0.2338, 0.1882, 0.1882)
Ho (0.7618, 0.4530, 0.4530)
Ho (0.7322, 0.8665, 0.4000)
Tb (0.2501, 0.7157, 0.7157)
Tb (0.7499, 0.2843, 0.2843)
Pr (0.0000, 0.0000, 0.0000)

Magnetic moment: 0.0 μB/f.u.



Each structure's energy above the most stable one, in meV/atom: P 0; Q 33.



## P
## Tb6Pr8Ho (PBE)

Data for crystalline Tb6Pr8Ho at its relaxed geometry.

Cell: 6.6477 9.5007 9.5007 Å, 120.00 90.00 90.00°
Element x y z (fractional)
Tb (0.6566, 0.4363, 0.3432)
Tb (0.3434, 0.3432, 0.9069)
Tb (0.3434, 0.5637, 0.6568)
Tb (0.6566, 0.9069, 0.5637)
Tb (0.6566, 0.6568, 0.0931)
Tb (0.3434, 0.0931, 0.4363)
Pr (0.8807, 0.3333, 0.6667)
Pr (0.8324, 0.0363, 0.2865)
Pr (0.1676, 0.2865, 0.2502)
Pr (0.1676, 0.9637, 0.7135)
Pr (0.1676, 0.7498, 0.0363)
Pr (0.8324, 0.2502, 0.9637)
Pr (0.1193, 0.6667, 0.3333)
Pr (0.8324, 0.7135, 0.7498)
Ho (0.5000, 0.0000, 0.0000)

Magnetic moment: 0.0 μB/f.u.



## Q
## Tb6Pr8Ho (PBE)

Data for crystalline Tb6Pr8Ho at its relaxed geometry.

Cell: 9.9317 9.9317 8.3168 Å, 53.34 53.34 60.00°
Element x y z (fractional)
Pr (0.3545, 0.2258, 0.4878)
Pr (0.0680, 0.6455, 0.5122)
Pr (0.5870, 0.5870, 0.2391)
Pr (0.4130, 0.4130, 0.7609)
Pr (0.6455, 0.7742, 0.5122)
Pr (0.9320, 0.3545, 0.4878)
Pr (0.7742, 0.0680, 0.5122)
Pr (0.2258, 0.9320, 0.4878)
Tb (0.2840, 0.6109, 0.0291)
Tb (0.3891, 0.9240, 0.9709)
Tb (0.7160, 0.3891, 0.9709)
Tb (0.0760, 0.2840, 0.0291)
Tb (0.9240, 0.7160, 0.9709)
Tb (0.6109, 0.0760, 0.0291)
Ho (0.0000, 0.0000, 0.0000)

Magnetic moment: 0.0 μB/f.u.



Each structure's energy above the most stable one, in meV/atom: P 8; Q 0.



## P
## Tb12Pr2Ho5 (PBE)

Data for crystalline Tb12Pr2Ho5 at its relaxed geometry.

Cell: 6.7331 11.6505 11.3854 Å, 134.92 87.76 100.12°
Element x y z (fractional)
Tb (0.1146, 0.8495, 0.0926)
Tb (0.3816, 0.2178, 0.4659)
Tb (0.1113, 0.6906, 0.4660)
Tb (0.6184, 0.7822, 0.5341)
Tb (0.1623, 0.4420, 0.8573)
Tb (0.8854, 0.1505, 0.9074)
Tb (0.6464, 0.9739, 0.1148)
Tb (0.8377, 0.5580, 0.1427)
Tb (0.3536, 0.0261, 0.8852)
Tb (0.8887, 0.3094, 0.5340)
Tb (0.3402, 0.4294, 0.1168)
Tb (0.6598, 0.5706, 0.8832)
Pr (0.1169, 0.2578, 0.2452)
Pr (0.8831, 0.7422, 0.7548)
Ho (0.0000, 0.0000, 0.5000)
Ho (0.3453, 0.6155, 0.6838)
Ho (0.5455, 0.1827, 0.7180)
Ho (0.6547, 0.3845, 0.3162)
Ho (0.4545, 0.8173, 0.2820)

Magnetic moment: 0.0 μB/f.u.



## Q
## Tb12Pr2Ho5 (PBE)

Data for crystalline Tb12Pr2Ho5 at its relaxed geometry.

Cell: 9.2384 12.4452 8.5617 Å, 132.63 90.00 111.79°
Element x y z (fractional)
Tb (0.5593, 0.1187, 0.7878)
Tb (0.9759, 0.3135, 0.0698)
Tb (0.4407, 0.8813, 0.2122)
Tb (0.0940, 0.1879, 0.3051)
Tb (0.6624, 0.6865, 0.9302)
Tb (0.9060, 0.8121, 0.6949)
Tb (0.8176, 0.2518, 0.5984)
Tb (0.0241, 0.6865, 0.9302)
Tb (0.4342, 0.2518, 0.5984)
Tb (0.3376, 0.3135, 0.0698)
Tb (0.5658, 0.7482, 0.4016)
Tb (0.1824, 0.7482, 0.4016)
Pr (0.3163, 0.0000, 0.0000)
Pr (0.6837, 0.0000, 0.0000)
Ho (0.7685, 0.5370, 0.1122)
Ho (0.3026, 0.6052, 0.6153)
Ho (0.0000, 0.0000, 0.5000)
Ho (0.6974, 0.3948, 0.3847)
Ho (0.2315, 0.4630, 0.8878)

Magnetic moment: 0.0 μB/f.u.



Each structure's energy above the most stable one, in meV/atom: P 0; Q 48.



## P
## Tb4Pr4Ho3 (PBE)

Data for crystalline Tb4Pr4Ho3 at its relaxed geometry.

Cell: 3.6304 9.5033 12.0353 Å, 113.25 98.68 90.00°
Element x y z (fractional)
Tb (0.7388, 0.2383, 0.4766)
Tb (0.2612, 0.7617, 0.5234)
Tb (0.5000, 0.1832, 0.0000)
Tb (0.5000, 0.8168, 0.0000)
Pr (0.3562, 0.5330, 0.7110)
Pr (0.6438, 0.4670, 0.2890)
Pr (0.3562, 0.1781, 0.7110)
Pr (0.6438, 0.8219, 0.2890)
Ho (0.0000, 0.5000, 0.0000)
Ho (0.8939, 0.8937, 0.7875)
Ho (0.1061, 0.1063, 0.2125)

Magnetic moment: 0.0 μB/f.u.



## Q
## Tb4Pr4Ho3 (PBE)

Data for crystalline Tb4Pr4Ho3 at its relaxed geometry.

Cell: 3.5498 5.7117 18.2523 Å, 81.00 84.41 89.99°
Element x y z (fractional)
Ho (0.0000, 0.0000, 0.0000)
Ho (0.1356, 0.6360, 0.7293)
Ho (0.8644, 0.3641, 0.2707)
Pr (0.2690, 0.2687, 0.4623)
Pr (0.7311, 0.7314, 0.5377)
Pr (0.4094, 0.9091, 0.1809)
Pr (0.5906, 0.0909, 0.8191)
Tb (0.3194, 0.8192, 0.3612)
Tb (0.6806, 0.1808, 0.6388)
Tb (0.5457, 0.5457, 0.9095)
Tb (0.4543, 0.4543, 0.0905)

Magnetic moment: 0.0 μB/f.u.



Each structure's energy above the most stable one, in meV/atom: P 59; Q 0.



## P
## Tb4PrHo4 (PBE)

Data for crystalline Tb4PrHo4 at its relaxed geometry.

Cell: 8.8653 10.2060 12.4279 Å, 84.22 76.42 142.81°
Element x y z (fractional)
Pr (0.4996, 0.4995, 0.7498)
Pr (0.5004, 0.5005, 0.2502)
Ho (0.1650, 0.4994, 0.6378)
Ho (0.8321, 0.8326, 0.4170)
Ho (0.8337, 0.8331, 0.9164)
Ho (0.4998, 0.8342, 0.3062)
Ho (0.5002, 0.1658, 0.6938)
Ho (0.1679, 0.1674, 0.5830)
Ho (0.8350, 0.5006, 0.3622)
Ho (0.1663, 0.1669, 0.0836)
Tb (0.1647, 0.4996, 0.1388)
Tb (0.8353, 0.5004, 0.8612)
Tb (0.8306, 0.1655, 0.4731)
Tb (0.4988, 0.1644, 0.1950)
Tb (0.8304, 0.1646, 0.9733)
Tb (0.5012, 0.8356, 0.8050)
Tb (0.1696, 0.8354, 0.0267)
Tb (0.1694, 0.8345, 0.5269)

Magnetic moment: 0.0 μB/f.u.



## Q
## Tb4PrHo4 (PBE)

Data for crystalline Tb4PrHo4 at its relaxed geometry.

Cell: 5.0227 7.9668 7.9668 Å, 84.30 71.63 71.63°
Element x y z (fractional)
Ho (0.3323, 0.3353, 0.0002)
Ho (0.6677, 0.6647, 0.9998)
Ho (0.6676, 0.0002, 0.6647)
Ho (0.3324, 0.9998, 0.3353)
Tb (0.3338, 0.6660, 0.6663)
Tb (0.6662, 0.3340, 0.3337)
Tb (0.0001, 0.3337, 0.6660)
Tb (0.9999, 0.6663, 0.3340)
Pr (0.0000, 0.0000, 0.0000)

Magnetic moment: 0.0 μB/f.u.



Each structure's energy above the most stable one, in meV/atom: P 0; Q 19.



## P
## Tb2Pr5Ho4 (PBE)

Data for crystalline Tb2Pr5Ho4 at its relaxed geometry.

Cell: 3.5431 9.2072 12.8133 Å, 111.06 97.95 90.00°
Element x y z (fractional)
Pr (0.8537, 0.0550, 0.7074)
Pr (0.1463, 0.3477, 0.2926)
Pr (0.5000, 0.0000, 0.0000)
Pr (0.1463, 0.9450, 0.2926)
Pr (0.8537, 0.6523, 0.7074)
Tb (0.7304, 0.7304, 0.4609)
Tb (0.2696, 0.2696, 0.5391)
Ho (0.5963, 0.5963, 0.1927)
Ho (0.0000, 0.6858, 0.0000)
Ho (0.4037, 0.4037, 0.8073)
Ho (0.0000, 0.3142, 0.0000)

Magnetic moment: 0.0 μB/f.u.



## Q
## Tb2Pr5Ho4 (PBE)

Data for crystalline Tb2Pr5Ho4 at its relaxed geometry.

Cell: 3.5675 11.6944 9.0828 Å, 93.90 101.33 90.00°
Element x y z (fractional)
Pr (0.1766, 0.0713, 0.3532)
Pr (0.9033, 0.4644, 0.8066)
Pr (0.5000, 0.0000, 0.0000)
Pr (0.0967, 0.5356, 0.1934)
Pr (0.8234, 0.9287, 0.6468)
Ho (0.9652, 0.7396, 0.9304)
Ho (0.3598, 0.2044, 0.7195)
Ho (0.0348, 0.2604, 0.0696)
Ho (0.6402, 0.7956, 0.2805)
Tb (0.7162, 0.3527, 0.4324)
Tb (0.2838, 0.6473, 0.5676)

Magnetic moment: 0.0 μB/f.u.



Each structure's energy above the most stable one, in meV/atom: P 113; Q 0.



## P
## TbPr7Ho4 (PBE)

Data for crystalline TbPr7Ho4 at its relaxed geometry.

Cell: 7.3316 6.3618 11.6369 Å, 79.57 50.99 90.03°
Element x y z (fractional)
Pr (0.2551, 0.4990, 0.9976)
Pr (0.6653, 0.2217, 0.3345)
Pr (0.3347, 0.7783, 0.6655)
Pr (0.0833, 0.2802, 0.6654)
Pr (0.5000, 0.0000, 0.0000)
Pr (0.7449, 0.5010, 0.0024)
Pr (0.9167, 0.7198, 0.3346)
Ho (0.8358, 0.7806, 0.6639)
Ho (0.5866, 0.2772, 0.6672)
Ho (0.4134, 0.7228, 0.3328)
Ho (0.1642, 0.2194, 0.3361)
Tb (0.0000, 0.0000, 0.0000)

Magnetic moment: 0.0 μB/f.u.



## Q
## TbPr7Ho4 (PBE)

Data for crystalline TbPr7Ho4 at its relaxed geometry.

Cell: 6.0503 9.8091 8.6777 Å, 61.50 69.60 72.04°
Element x y z (fractional)
Ho (0.5701, 0.3020, 0.5578)
Ho (0.3301, 0.3819, 0.9578)
Ho (0.4299, 0.6980, 0.4422)
Ho (0.6699, 0.6181, 0.0422)
Pr (0.0857, 0.5513, 0.2773)
Pr (0.2112, 0.1157, 0.4619)
Pr (0.9143, 0.4487, 0.7227)
Pr (0.7888, 0.8843, 0.5381)
Pr (0.7870, 0.2386, 0.1875)
Pr (0.2130, 0.7614, 0.8125)
Pr (0.5000, 0.0000, 0.0000)
Tb (0.0000, 0.0000, 0.0000)

Magnetic moment: 0.0 μB/f.u.



Each structure's energy above the most stable one, in meV/atom: P 0; Q 203.